{
  "formula": "Hf2SnPb2",
  "functional": "PBE",
  "state": "relaxed",
  "lattice": [[-4.227, 6.112, -1.683], [-1.172, -2.742, -7.012], [-3.549, -2.069, 1.402]],
  "species": ["Pb", "Hf", "Sn", "Pb", "Hf", "Sn", "Hf", "Pb", "Pb", "Hf"],
  "fractional_positions": [[0.336, 0.164, 0.500], [0.143, 0.357, 0.000], [0.000, 0.000, 0.000], [0.164, 0.664, 0.500], [0.857, 0.643, 0.000], [0.500, 0.500, 0.000], [0.643, 0.143, 0.000], [0.836, 0.336, 0.500], [0.664, 0.836, 0.500], [0.357, 0.857, 0.000]],
  "de_polymorph_mev_per_atom": 0.0,
  "magmom_total_mub_per_fu": 0.000
}